This record from the Alexandria database describes GaCoSn2Pb after structural relaxation. The functional is PBE.

Output
Density of states at the Fermi level   3.4 states/eV per cell
Energy of formation from the pure elements   63 meV per atom
Crystal system   tetragonal

a = 5.070 Å, b = 5.070 Å, c = 4.608 Å
α = 90.00°, β = 90.00°, γ = 90.00°
Atoms (fractional coordinates):
Ga 0.000 0.000 0.000
Co 0.000 0.000 0.500
Sn 0.000 0.500 0.500
Sn 0.500 0.000 0.500
Pb 0.500 0.500 0.000

=====

This record from the Alexandria database describes SrGa2CoPb after structural relaxation. The functional is PBE.

Output
Density of states at the Fermi level   4.2 states/eV per cell
Energy of formation from the pure elements   -168 meV per atom
Crystal system   tetragonal

a = 4.728 Å, b = 4.728 Å, c = 5.176 Å
α = 90.00°, β = 90.00°, γ = 90.00°
Atoms (fractional coordinates):
Sr 0.000 0.000 0.000
Ga 0.000 0.500 0.500
Ga 0.500 0.000 0.500
Co 0.500 0.500 0.500
Pb 0.500 0.500 0.000

=====

This record from the Alexandria database describes YGa2CoPb after structural relaxation. The functional is PBE.

Output
Density of states at the Fermi level   2.9 states/eV per cell
Energy of formation from the pure elements   -231 meV per atom
Crystal system   tetragonal

a = 4.652 Å, b = 4.652 Å, c = 5.079 Å
α = 90.00°, β = 90.00°, γ = 90.00°
Atoms (fractional coordinates):
Y 0.000 0.000 0.000
Ga 0.000 0.500 0.500
Ga 0.500 0.000 0.500
Co 0.000 0.000 0.500
Pb 0.500 0.500 0.000

=====

This record from the Alexandria database describes Y2GaCoPb after structural relaxation. The functional is PBE.

Output
Density of states at the Fermi level   2.9 states/eV per cell
Energy of formation from the pure elements   -333 meV per atom
Crystal system   tetragonal

a = 5.156 Å, b = 5.156 Å, c = 4.593 Å
α = 90.00°, β = 90.00°, γ = 90.00°
Atoms (fractional coordinates):
Y 0.000 0.500 0.000
Y 0.500 0.000 0.000
Ga 0.000 0.000 0.500
Co 0.000 0.000 0.000
Pb 0.500 0.500 0.500

=====

This record from the Alexandria database describes Ga6CoPd after structural relaxation. The functional is PBE.

Output
Density of states at the Fermi level   3.7 states/eV per cell
Energy of formation from the pure elements   -134 meV per atom
Crystal system   monoclinic

a = 5.310 Å, b = 5.310 Å, c = 5.320 Å
α = 102.64°, β = 102.64°, γ = 102.71°
Atoms (fractional coordinates):
Ga 0.144 0.710 0.709
Ga 0.290 0.290 0.853
Ga 0.290 0.856 0.291
Ga 0.710 0.144 0.709
Ga 0.710 0.710 0.147
Ga 0.856 0.290 0.291
Co 0.000 0.000 0.000
Pd 0.500 0.500 0.500

=====

This record from the Alexandria database describes Ga4Co3Pd after structural relaxation. The functional is PBE.

Output
Density of states at the Fermi level   3.5 states/eV per cell
Energy of formation from the pure elements   -311 meV per atom
Crystal system   orthorhombic

a = 2.973 Å, b = 4.156 Å, c = 8.290 Å
α = 90.00°, β = 90.00°, γ = 90.00°
Atoms (fractional coordinates):
Ga 0.000 0.000 0.000
Ga 0.000 0.000 0.500
Ga 0.000 0.500 0.235
Ga 0.000 0.500 0.765
Co 0.500 0.000 0.249
Co 0.500 0.000 0.751
Co 0.500 0.500 0.000
Pd 0.500 0.500 0.500

=====

This record from the Alexandria database describes Ga2Co2Pd after structural relaxation. The functional is PBE.

Output
Density of states at the Fermi level   5.2 states/eV per cell
Distance to the lowest polymorph of the same formula   13.4 kJ/mol of atoms
Energy of formation from the pure elements   -62 meV per atom
Crystal system   tetragonal

a = 6.856 Å, b = 6.856 Å, c = 6.856 Å
α = 151.84°, β = 151.84°, γ = 40.24°
Atoms (fractional coordinates):
Ga 0.106 0.106 0.000
Ga 0.894 0.894 0.000
Co 0.250 0.750 0.500
Co 0.750 0.250 0.500
Pd 0.500 0.500 0.000

=====

This record from the Alexandria database describes GaCo3Pd after structural relaxation. The functional is PBE.

Output
Density of states at the Fermi level   7.8 states/eV per cell
Distance to the lowest polymorph of the same formula   0.0 kJ/mol of atoms
Energy of formation from the pure elements   1016 meV per atom
Crystal system   cubic

a = 4.305 Å, b = 4.305 Å, c = 4.305 Å
α = 90.00°, β = 90.00°, γ = 90.00°
Atoms (fractional coordinates):
Ga 0.000 0.000 0.000
Co 0.000 0.000 0.500
Co 0.000 0.500 0.000
Co 0.500 0.000 0.000
Pd 0.500 0.500 0.500

=====

This record from the Alexandria database describes GaCo3Pd after structural relaxation. The functional is PBE.

Output
Density of states at the Fermi level   7.2 states/eV per cell
Distance to the lowest polymorph of the same formula   26.2 kJ/mol of atoms
Energy of formation from the pure elements   1287 meV per atom
Crystal system   cubic

a = 4.580 Å, b = 4.580 Å, c = 4.580 Å
α = 90.00°, β = 90.00°, γ = 90.00°
Atoms (fractional coordinates):
Ga 0.000 0.000 0.000
Co 0.000 0.500 0.500
Co 0.500 0.000 0.500
Co 0.500 0.500 0.000
Pd 0.500 0.500 0.500

=====

This record from the Alexandria database describes Ga2CoPd after structural relaxation. The functional is PBE.

Output
Density of states at the Fermi level   11.0 states/eV per cell
Energy of formation from the pure elements   11 meV per atom
Crystal system   tetragonal

a = 8.898 Å, b = 8.898 Å, c = 8.898 Å
α = 154.98°, β = 154.98°, γ = 35.68°
Atoms (fractional coordinates):
Ga 0.106 0.625 0.981
Ga 0.375 0.356 0.481
Ga 0.644 0.125 0.019
Ga 0.875 0.894 0.519
Co 0.000 0.000 0.000
Co 0.750 0.250 0.500
Pd 0.250 0.750 0.500
Pd 0.500 0.500 0.000

=====

Number 9 is which compound?
GaCo3Pd